(1)
! LiZn2HBr | Alexandria | PBE | relaxed; values from VASP
! Calculated density   2.82 g/cm3
! Uncorrected energy   -1.523 eV/atom
! Fermi-level density of states   0.295 states/eV per atom
&SYSTEM
  ibrav = 0, nat = 5, ntyp = 4
/
ATOMIC_SPECIES
H 1.01 H.upf
Zn 65.41 Zn.upf
Br 79.90 Br.upf
Li 6.94 Li.upf
CELL_PARAMETERS angstrom
-1.545 5.740 1.527
-3.192 -0.573 -1.076
-1.551 -1.913 5.621
ATOMIC_POSITIONS crystal
H 0.000 0.500 0.000
Zn 0.000 0.000 0.500
Br 0.000 0.000 0.000
Zn 0.500 0.000 0.000
Li 0.500 0.500 0.500


(2)
! MgHBr | Alexandria | PBE | relaxed; values from VASP
! Calculated density   2.78 g/cm3
! Uncorrected energy   -2.957 eV/atom
! Fermi-level density of states   0.000 states/eV per atom
&SYSTEM
  ibrav = 0, nat = 6, ntyp = 3
/
ATOMIC_SPECIES
Mg 24.30 Mg.upf
Br 79.90 Br.upf
H 1.01 H.upf
CELL_PARAMETERS angstrom
-2.402 2.338 -1.082
-4.251 -4.761 -0.850
-2.328 -0.031 5.098
ATOMIC_POSITIONS crystal
Mg 0.322 0.062 0.351
Br 0.822 0.343 0.141
Br 0.822 0.782 0.559
H 0.322 0.170 0.654
H 0.322 0.955 0.047
Mg 0.823 0.062 0.851